The following is a DFT calculation (GGA-PBE) of a geometry-optimized RbMg12In7 structure.

a = 7.874 Å, b = 9.123 Å, c = 9.123 Å
α = 112.08°, β = 106.72°, γ = 106.72°
Fractional coordinates of all 20 atoms:
In (0.830, 0.345, 0.000)
In (0.516, 0.345, 0.345)
In (0.500, 0.000, 0.000)
In (0.830, 0.000, 0.345)
In (0.484, 0.655, 0.655)
In (0.170, 0.000, 0.655)
In (0.170, 0.655, 0.000)
Mg (0.114, 0.668, 0.668)
Mg (0.445, 0.000, 0.332)
Mg (0.263, 0.263, 0.527)
Mg (0.737, 0.737, 0.473)
Mg (0.555, 0.668, 0.000)
Mg (0.886, 0.332, 0.332)
Mg (0.555, 0.000, 0.668)
Mg (0.445, 0.332, 0.000)
Mg (0.000, 0.737, 0.263)
Mg (0.263, 0.527, 0.263)
Mg (0.737, 0.473, 0.737)
Mg (0.000, 0.263, 0.737)
Rb (0.000, 0.000, 0.000)

Computed properties:
ΔH_f (0 K) ... 0.0058 eV per atom
Density ... 3.767 g/cm3
Space group ... R-3m